[1]
A plane-wave DFT calculation with SCAN was carried out for a PBEsol-optimized structure of KRb3Al.

a b c (Å): 7.391 7.391 7.391
angles (deg): 90.00 90.00 90.00
Sites, in units of the cell vectors:
K (0.000, 0.000, 0.000)
Rb (0.000, 0.000, 0.500)
Rb (0.000, 0.500, 0.000)
Rb (0.500, 0.000, 0.000)
Al (0.500, 0.500, 0.500)

Computed properties:
- space group = Pm-3m, No. 221
- calculated density (g cm⁻³) = 1.33
- energy of formation from the pure elements (eV per atom) = 0.7420
- crystal system = cubic
- E above lowest polymorph (meV/atom) = 426


[2]
A plane-wave DFT calculation with SCAN was carried out for a PBEsol-optimized structure of KRb3Al.

a b c (Å): 7.087 7.087 7.087
angles (deg): 90.00 90.00 90.00
Sites, in units of the cell vectors:
K (0.000, 0.000, 0.000)
Rb (0.000, 0.500, 0.500)
Rb (0.500, 0.000, 0.500)
Rb (0.500, 0.500, 0.000)
Al (0.500, 0.500, 0.500)

Computed properties:
- space group = Pm-3m, No. 221
- calculated density (g cm⁻³) = 1.50
- energy of formation from the pure elements (eV per atom) = 0.3160
- crystal system = cubic
- E above lowest polymorph (meV/atom) = 0


[3]
A plane-wave DFT calculation with SCAN was carried out for a PBEsol-optimized structure of KRbAl3.

a b c (Å): 6.038 6.038 6.038
angles (deg): 90.00 90.00 90.00
Sites, in units of the cell vectors:
K (0.000, 0.000, 0.000)
Rb (0.500, 0.500, 0.500)
Al (0.000, 0.500, 0.500)
Al (0.500, 0.000, 0.500)
Al (0.500, 0.500, 0.000)

Computed properties:
- space group = Pm-3m, No. 221
- calculated density (g cm⁻³) = 1.55
- energy of formation from the pure elements (eV per atom) = 1.3596
- crystal system = cubic


[4]
A plane-wave DFT calculation with SCAN was carried out for a PBEsol-optimized structure of K2RbAlTc.

a b c (Å): 6.437 6.437 6.599
angles (deg): 90.00 90.00 90.00
Sites, in units of the cell vectors:
K (0.000, 0.500, 0.000)
K (0.500, 0.000, 0.000)
Rb (0.000, 0.000, 0.500)
Al (0.000, 0.000, 0.000)
Tc (0.500, 0.500, 0.500)

Computed properties:
- space group = P4/mmm, No. 123
- calculated density (g cm⁻³) = 1.75
- energy of formation from the pure elements (eV per atom) = 1.4061
- crystal system = tetragonal


[5]
A plane-wave DFT calculation with SCAN was carried out for a PBEsol-optimized structure of KAlRe2.

a b c (Å): 2.753 3.828 7.878
angles (deg): 90.00 90.00 90.00
Sites, in units of the cell vectors:
K (0.000, 0.000, 0.000)
Al (0.500, 0.500, 0.665)
Re (0.000, 0.000, 0.480)
Re (0.500, 0.500, 0.339)

Computed properties:
- space group = Pmm2, No. 25
- calculated density (g cm⁻³) = 8.77
- energy of formation from the pure elements (eV per atom) = 0.4587
- crystal system = orthorhombic


[6]
A plane-wave DFT calculation with SCAN was carried out for a PBEsol-optimized structure of KAlRe2.

a b c (Å): 10.314 10.314 10.314
angles (deg): 15.43 15.43 15.43
Sites, in units of the cell vectors:
K (0.000, 0.000, 0.000)
Al (0.500, 0.500, 0.500)
Re (0.236, 0.236, 0.236)
Re (0.764, 0.764, 0.764)

Computed properties:
- space group = R-3m, No. 166
- calculated density (g cm⁻³) = 10.75
- energy of formation from the pure elements (eV per atom) = 0.5732
- crystal system = trigonal


[7]
A plane-wave DFT calculation with SCAN was carried out for a PBEsol-optimized structure of KAlRe2.

a b c (Å): 6.009 6.009 5.047
angles (deg): 114.70 114.70 25.21
Sites, in units of the cell vectors:
K (0.000, 0.000, 0.000)
Al (0.500, 0.500, 0.500)
Re (0.212, 0.212, 0.711)
Re (0.788, 0.788, 0.289)

Computed properties:
- space group = C2/m, No. 12
- calculated density (g cm⁻³) = 10.38
- energy of formation from the pure elements (eV per atom) = 0.8815
- crystal system = monoclinic


[8]
A plane-wave DFT calculation with SCAN was carried out for a PBEsol-optimized structure of KAlReSn2.

a b c (Å): 5.148 5.148 5.414
angles (deg): 90.00 90.00 90.00
Sites, in units of the cell vectors:
K (0.000, 0.000, 0.000)
Al (0.000, 0.000, 0.500)
Re (0.500, 0.500, 0.000)
Sn (0.000, 0.500, 0.500)
Sn (0.500, 0.000, 0.500)

Computed properties:
- space group = P4/mmm, No. 123
- calculated density (g cm⁻³) = 5.67
- energy of formation from the pure elements (eV per atom) = 1.6312
- crystal system = tetragonal